Pm4ThSi4 | PBE | optimized geometry

Cell and atoms, written as POSCAR:
```
Pm4ThSi4
1.0
-0.068 -4.108 -4.275
7.810 -3.502 3.241
-4.771 -5.594 5.451
Pm Th Si
8 2 8
direct
0.374 0.307 0.920
0.874 0.580 0.807
0.374 0.693 0.080
0.126 0.193 0.580
0.626 0.920 0.693
0.126 0.807 0.420
0.874 0.420 0.193
0.626 0.080 0.307
0.000 0.000 0.000
0.500 0.500 0.500
0.635 0.768 0.363
0.635 0.232 0.637
0.135 0.863 0.732
0.865 0.268 0.863
0.865 0.732 0.137
0.365 0.363 0.232
0.365 0.637 0.768
0.135 0.137 0.268
```

Fermi-level density of states	15.83	states/eV per cell
symmetry	P4_2/n, No. 86
ΔE_f (raw)	-401	meV/atom